1.
A plane-wave DFT calculation with PBE was carried out for Tm8Zn2Os after structural relaxation.

Summary:
Relative energy among the computed polymorphs in meV per atom: 0.0

Cell: 8.9500 8.9500 6.7121 Å, 107.89 107.89 32.94°
Sites, in units of the cell vectors:
Tm (0.0261, 0.0261, 0.2923)
Tm (0.1986, 0.1986, 0.8086)
Tm (0.3395, 0.3395, 0.5327)
Tm (0.4084, 0.4084, 0.0660)
Tm (0.5916, 0.5916, 0.9340)
Tm (0.6605, 0.6605, 0.4672)
Tm (0.8014, 0.8014, 0.1914)
Tm (0.9739, 0.9739, 0.7077)
Zn (0.1826, 0.1826, 0.2121)
Zn (0.8174, 0.8174, 0.7879)
Os (0.5000, 0.5000, 0.5000)

---

2.
A plane-wave DFT calculation with PBE was carried out for SrHPd2Br after structural relaxation.

Summary:
Electronic total energy in eV per atom: -3.904

Cell: 4.0591 4.0591 5.9753 Å, 90.00 90.00 90.00°
Sites, in units of the cell vectors:
Sr (0.0000, 0.0000, 0.0000)
H (0.5000, 0.5000, 0.5000)
Pd (0.0000, 0.5000, 0.5000)
Pd (0.5000, 0.0000, 0.5000)
Br (0.5000, 0.5000, 0.0000)

---

3.
A plane-wave DFT calculation with PBE was carried out for NpMoN4 after structural relaxation.

Summary:
Uncorrected formation energy in eV per atom: -0.314

Cell: 5.1519 4.9455 5.9779 Å, 90.00 90.00 90.00°
Sites, in units of the cell vectors:
Np (0.0000, 0.0000, 0.0000)
Np (0.0000, 0.5000, 0.5000)
Mo (0.5000, 0.0000, 0.3587)
Mo (0.5000, 0.5000, 0.8587)
N (0.1899, 0.2145, 0.2629)
N (0.1899, 0.2855, 0.7629)
N (0.3358, 0.7472, 0.5437)
N (0.3358, 0.7528, 0.0437)
N (0.6642, 0.2472, 0.0437)
N (0.6642, 0.2528, 0.5437)
N (0.8101, 0.7145, 0.7629)
N (0.8101, 0.7855, 0.2629)

---

4.
A plane-wave DFT calculation with PBE was carried out for K2CaCd12Au3 after structural relaxation.

Summary:
Electronic total energy in eV per atom: -1.385

Cell: 10.5325 10.5325 10.5325 Å, 47.37 47.37 47.37°
Sites, in units of the cell vectors:
K (0.1217, 0.1217, 0.1217)
K (0.8783, 0.8783, 0.8783)
Ca (0.5000, 0.5000, 0.5000)
Cd (0.0059, 0.6493, 0.6493)
Cd (0.2639, 0.2639, 0.6525)
Cd (0.2639, 0.6525, 0.2639)
Cd (0.3475, 0.7361, 0.7361)
Cd (0.3507, 0.3507, 0.9941)
Cd (0.3507, 0.9941, 0.3507)
Cd (0.6493, 0.0059, 0.6493)
Cd (0.6493, 0.6493, 0.0059)
Cd (0.6525, 0.2639, 0.2639)
Cd (0.7361, 0.3475, 0.7361)
Cd (0.7361, 0.7361, 0.3475)
Cd (0.9941, 0.3507, 0.3507)
Au (0.0000, 0.5000, 0.5000)
Au (0.5000, 0.0000, 0.5000)
Au (0.5000, 0.5000, 0.0000)

---

5.
A plane-wave DFT calculation with PBE was carried out for Li2TbEr2Tl2 after structural relaxation.

Summary:
Electronic total energy in eV per atom: -3.357

Cell: 9.2970 9.2970 9.2970 Å, 30.01 30.01 30.01°
Sites, in units of the cell vectors:
Li (0.1010, 0.1010, 0.1010)
Li (0.8990, 0.8990, 0.8990)
Tb (0.5000, 0.5000, 0.5000)
Er (0.3725, 0.3725, 0.3725)
Er (0.6275, 0.6275, 0.6275)
Tl (0.2390, 0.2390, 0.2390)
Tl (0.7610, 0.7610, 0.7610)

---

6.
A plane-wave DFT calculation with PBE was carried out for SrLaAl after structural relaxation.

Summary:
Relative energy among the computed polymorphs in meV per atom: 133.9

Cell: 7.8131 7.8131 7.0814 Å, 90.00 90.00 149.81°
Sites, in units of the cell vectors:
Sr (0.2042, 0.7958, 0.5000)
Sr (0.7958, 0.2042, 0.0000)
La (0.4998, 0.5002, 0.2507)
La (0.5002, 0.4998, 0.7507)
Al (0.1171, 0.8829, 0.0010)
Al (0.8829, 0.1171, 0.5010)